No. 1
The following is a DFT calculation (GGA-PBE) of a relaxed KBaPtO2 crystal.

```
KBaPtO2
1.0
-5.338 -1.683 1.304
1.703 -1.288 5.307
-1.695 7.125 2.261
K Ba Pt O
2 2 2 4
Direct
0.001 0.500 0.750 K
0.999 0.500 0.250 K
0.500 0.000 0.250 Ba
0.500 0.000 0.750 Ba
0.000 0.000 0.000 Pt
0.000 0.000 0.500 Pt
0.738 0.780 0.000 O
0.738 0.220 0.500 O
0.262 0.780 0.500 O
0.262 0.220 0.000 O
```

Computed properties:
Formation energy (no corrections) ... -1.38 eV per atom

***

No. 2
The following is a DFT calculation (GGA-PBE) of a relaxed Sb2HPd4 crystal.

```
Sb2HPd4
1.0
4.070 0.000 0.000
0.000 4.070 0.000
-2.035 -2.035 6.816
Sb Pd H
2 4 1
Direct
0.653 0.653 0.307 Sb
0.347 0.347 0.693 Sb
0.850 0.850 0.700 Pd
0.150 0.150 0.300 Pd
0.000 0.500 0.000 Pd
0.500 0.000 0.000 Pd
0.000 0.000 0.000 H
```

Computed properties:
Polymorph energy (0 for the lowest one) ... 0.0 meV per atom

***

No. 3
The following is a DFT calculation (GGA-PBE) of a relaxed Y2HfBe crystal.

```
Y2HfBe
1.0
8.041 0.000 0.000
0.000 8.041 0.000
4.021 4.021 2.953
Y Be Hf
4 2 2
Direct
0.572 0.125 0.250 Y
0.178 0.625 0.250 Y
0.375 0.428 0.750 Y
0.875 0.822 0.750 Y
0.500 0.500 0.000 Be
0.250 0.750 0.500 Be
0.000 0.000 0.000 Hf
0.750 0.250 0.500 Hf
```

Computed properties:
Energy of formation from the pure elements ... 2.0 eV/f.u.

***

No. 4
The following is a DFT calculation (GGA-PBE) of a relaxed LaTb6Y2Er crystal.

```
LaTb6Y2Er
1.0
9.022 -1.719 -1.784
0.919 8.595 -1.881
0.919 -2.199 8.519
La Tb Y Er
2 12 4 2
Direct
0.250 0.958 0.042 La
0.750 0.042 0.958 La
0.060 0.115 0.762 Tb
0.440 0.238 0.885 Tb
0.940 0.885 0.238 Tb
0.560 0.762 0.115 Tb
0.319 0.998 0.451 Tb
0.181 0.549 0.002 Tb
0.681 0.002 0.549 Tb
0.819 0.451 0.998 Tb
0.111 0.709 0.472 Tb
0.389 0.528 0.291 Tb
0.889 0.291 0.528 Tb
0.611 0.472 0.709 Tb
0.556 0.205 0.305 Y
0.944 0.695 0.795 Y
0.444 0.795 0.695 Y
0.056 0.305 0.205 Y
0.250 0.413 0.587 Er
0.750 0.587 0.413 Er
```

Computed properties:
Energy of formation from the pure elements ... 1.2 eV/f.u.

***

No. 5
The following is a DFT calculation (GGA-PBE) of a relaxed FeSiRh2 crystal.

```
FeSiRh2
1.0
-2.021 -1.453 -3.402
-0.850 -4.114 -0.349
-3.974 -1.366 0.333
Fe Rh Si
1 2 1
Direct
0.500 0.500 0.500 Fe
0.000 0.000 0.000 Rh
0.250 0.250 0.250 Rh
0.750 0.750 0.750 Si
```

Computed properties:
Formation energy (no corrections) ... -0.15 eV per atom

***

No. 6
The following is a DFT calculation (GGA-PBE) of a relaxed RbPtNO2 crystal.

```
RbPtNO2
1.0
4.311 0.000 0.000
0.000 4.311 0.000
0.000 0.000 3.759
O Rb Pt N
2 1 1 1
Direct
0.000 0.500 0.000 O
0.500 0.000 0.000 O
0.500 0.500 0.500 Rb
0.000 0.000 0.000 Pt
0.000 0.000 0.500 N
```

Computed properties:
Formation energy (no corrections) ... 0.09 eV per atom

***

No. 7
The following is a DFT calculation (GGA-PBE) of a relaxed Nd8Co3NCl4 crystal.

```
Nd8Co3NCl4
1.0
7.783 0.000 0.000
0.000 8.715 0.596
-3.891 -3.906 5.556
Nd Co N Cl
8 3 1 4
Direct
0.225 0.693 0.971 Nd
0.227 0.694 0.453 Nd
0.265 0.296 0.529 Nd
0.747 0.693 0.971 Nd
0.253 0.307 0.029 Nd
0.735 0.704 0.471 Nd
0.773 0.306 0.547 Nd
0.775 0.307 0.029 Nd
0.500 0.500 0.000 Co
0.500 0.500 0.500 Co
0.000 0.500 0.500 Co
0.000 0.500 0.000 N
0.500 0.000 0.000 Cl
0.500 0.000 0.500 Cl
0.000 0.000 0.000 Cl
0.000 0.000 0.500 Cl
```

Computed properties:
Formation energy (no corrections) ... -0.96 eV per atom

***

No. 8
The following is a DFT calculation (GGA-PBE) of a relaxed CeSmDy2Ho5 crystal.

```
CeSmDy2Ho5
1.0
-1.435 -3.437 -4.284
10.976 -1.120 0.982
-1.284 -7.165 6.179
Ce Sm Dy Ho
2 2 4 10
Direct
0.806 0.612 0.522 Ce
0.194 0.388 0.022 Ce
0.597 0.193 0.925 Sm
0.403 0.807 0.425 Sm
0.887 0.773 0.822 Dy
0.136 0.272 0.705 Dy
0.113 0.227 0.322 Dy
0.864 0.728 0.205 Dy
0.394 0.788 0.041 Ho
0.734 0.467 0.834 Ho
0.471 0.943 0.746 Ho
0.307 0.614 0.716 Ho
0.987 0.974 0.514 Ho
0.606 0.212 0.541 Ho
0.266 0.533 0.334 Ho
0.529 0.057 0.246 Ho
0.693 0.386 0.216 Ho
0.013 0.026 0.014 Ho
```

Computed properties:
Energy of formation from the pure elements ... 1.6 eV/f.u.

***

No. 9
The following is a DFT calculation (GGA-PBE) of a relaxed YZnRe2 crystal.

```
YZnRe2
1.0
5.186 -0.003 -0.012
-2.416 4.975 0.005
0.355 0.772 2.660
Re Y Zn
2 1 1
Direct
0.000 0.000 0.000 Re
0.500 0.000 0.500 Re
0.000 0.500 0.500 Y
0.500 0.500 0.000 Zn
```

Computed properties:
Energy of formation from the pure elements ... 1.6 eV/f.u.

***

No. 10
The following is a DFT calculation (GGA-PBE) of a relaxed RbBaPa4N8 crystal.

```
RbBaPa4N8
1.0
7.141 0.000 0.000
3.570 6.184 0.000
3.570 2.061 6.687
Rb Ba Pa N
1 1 4 8
Direct
0.006 0.006 0.981 Rb
0.360 0.360 0.919 Ba
0.532 0.532 0.403 Pa
0.004 0.508 0.484 Pa
0.508 0.004 0.484 Pa
0.004 0.004 0.484 Pa
0.305 0.776 0.614 N
0.776 0.305 0.614 N
0.305 0.305 0.614 N
0.222 0.222 0.333 N
0.736 0.213 0.315 N
0.213 0.736 0.315 N
0.736 0.736 0.315 N
0.792 0.792 0.625 N
```

Computed properties:
Formation energy (no corrections) ... -1.25 eV per atom

***

No. 11
The following is a DFT calculation (GGA-PBE) of a relaxed Tb2PmNdTl4 crystal.

```
Tb2PmNdTl4
1.0
-2.355 -1.850 4.549
-4.363 -3.244 -0.318
3.079 -8.837 1.260
Tb Pm Nd Tl
2 1 1 4
Direct
0.750 0.750 0.750 Tb
0.250 0.250 0.250 Tb
0.500 0.500 0.500 Pm
0.000 0.000 0.000 Nd
0.375 0.375 0.874 Tl
0.875 0.875 0.376 Tl
0.125 0.125 0.624 Tl
0.625 0.625 0.126 Tl
```

Computed properties:
Energy of formation from the pure elements ... -2.9 eV/f.u.

***

No. 12
The following is a DFT calculation (GGA-PBE) of a relaxed BaInBi2 crystal.

```
BaInBi2
1.0
6.485 0.359 -2.763
2.751 6.317 -1.172
-0.610 -0.179 7.559
Ba In Bi
2 2 4
Direct
0.137 0.250 0.775 Ba
0.863 0.750 0.225 Ba
0.726 0.250 0.952 In
0.274 0.750 0.048 In
0.786 0.841 0.702 Bi
0.416 0.659 0.702 Bi
0.214 0.159 0.298 Bi
0.584 0.341 0.298 Bi
```

Computed properties:
Energy of formation from the pure elements ... -1.8 eV/f.u.

***

Number 12 is which compound? BaInBi2